VASP calculation (PBE+U) on a geometry-optimized Na2CoIrO6 structure.

Cell: 5.410 5.410 5.410 Å, 60.00 60.00 60.00°
Site moments in Bohr magnetons follow the coordinates.
Fractional coordinates of all 10 atoms:
O (0.248, 0.248, 0.752)  -0.18
Co (0.500, 0.500, 0.500)  -3.04
Na (0.250, 0.250, 0.250)  0.00
O (0.752, 0.248, 0.752)  -0.18
Ir (0.000, 0.000, 0.000)  -0.54
O (0.248, 0.752, 0.752)  -0.19
Na (0.750, 0.750, 0.750)  0.00
O (0.752, 0.248, 0.248)  -0.19
O (0.752, 0.752, 0.248)  -0.18
O (0.248, 0.752, 0.248)  -0.18

Calculated values
As for the raw total energy: -5.54 eV per atom. The calculation puts the spin magnetization at 4.92 μB per formula unit. As for the crystal system: cubic.